! TlSnPbBr5 | Alexandria | PBE | optimized geometry; values from VASP
&SYSTEM
  ibrav = 0, nat = 16, ntyp = 4
/
ATOMIC_SPECIES
Tl 204.38 Tl.upf
Sn 118.71 Sn.upf
Pb 207.20 Pb.upf
Br 79.90 Br.upf
CELL_PARAMETERS angstrom
8.055 0.754 -0.565
-1.631 7.925 -0.565
-3.355 -4.531 10.493
ATOMIC_POSITIONS crystal
Tl 0.320 0.680 0.250
Tl 0.680 0.320 0.750
Sn 0.749 0.251 0.250
Sn 0.251 0.749 0.750
Pb 0.000 0.000 0.500
Pb 0.000 0.000 0.000
Br 0.048 0.952 0.250
Br 0.952 0.048 0.750
Br 0.895 0.362 0.085
Br 0.105 0.638 0.915
Br 0.638 0.105 0.415
Br 0.362 0.895 0.585
Br 0.781 0.608 0.422
Br 0.219 0.392 0.578
Br 0.392 0.219 0.078
Br 0.608 0.781 0.922
! * total magnetization: 0.00 μB/f.u.
! * SG: C2/c
! * raw formation energy: -0.823 eV/atom

***

! ZnSn2PbBr8 | Alexandria | PBE | optimized geometry; values from VASP
&SYSTEM
  ibrav = 0, nat = 12, ntyp = 4
/
ATOMIC_SPECIES
Zn 65.41 Zn.upf
Sn 118.71 Sn.upf
Pb 207.20 Pb.upf
Br 79.90 Br.upf
CELL_PARAMETERS angstrom
-1.811 0.246 6.829
-6.299 -1.699 -1.436
2.086 -8.423 0.862
ATOMIC_POSITIONS crystal
Zn 0.000 0.000 0.000
Sn 0.501 0.500 0.765
Sn 0.499 0.500 0.235
Pb 0.000 0.000 0.500
Br 0.152 0.775 0.216
Br 0.676 0.754 0.000
Br 0.849 0.222 0.215
Br 0.848 0.225 0.784
Br 0.324 0.246 0.000
Br 0.151 0.778 0.785
Br 0.660 0.733 0.501
Br 0.340 0.267 0.499
! * total magnetization: 0.00 μB/f.u.
! * SG: P-1
! * raw formation energy: -0.767 eV/atom

***

! ZnSnPbBr2 | Alexandria | PBE | optimized geometry; values from VASP
&SYSTEM
  ibrav = 0, nat = 5, ntyp = 4
/
ATOMIC_SPECIES
Pb 207.20 Pb.upf
Zn 65.41 Zn.upf
Sn 118.71 Sn.upf
Br 79.90 Br.upf
CELL_PARAMETERS angstrom
-0.845 4.385 -3.521
-4.878 1.792 3.401
3.417 3.228 3.200
ATOMIC_POSITIONS crystal
Pb 0.000 0.500 0.000
Zn 0.500 0.500 0.500
Sn 0.000 0.000 0.000
Br 0.000 0.000 0.500
Br 0.500 0.000 0.000
! * total magnetization: 0.28 μB/f.u.
! * SG: P4/mmm
! * raw formation energy: 0.027 eV/atom

***

! SrPb2Br4 | Alexandria | PBE | optimized geometry; values from VASP
&SYSTEM
  ibrav = 0, nat = 7, ntyp = 3
/
ATOMIC_SPECIES
Pb 207.20 Pb.upf
Sr 87.62 Sr.upf
Br 79.90 Br.upf
CELL_PARAMETERS angstrom
-4.604 -2.451 3.254
-3.036 -1.210 -5.207
-0.440 -8.683 -1.355
ATOMIC_POSITIONS crystal
Pb 0.605 0.605 0.789
Pb 0.395 0.395 0.211
Sr 0.000 0.000 0.000
Br 0.808 0.808 0.384
Br 0.192 0.192 0.616
Br 0.000 0.500 0.000
Br 0.500 0.000 0.000
! * total magnetization: 0.00 μB/f.u.
! * SG: I4/mmm
! * raw formation energy: -0.898 eV/atom